Computed, not measured: crystalline CeInBi at its relaxed geometry at the GGA-PBE level of DFT. Values from VASP.

Geometry as Quantum ESPRESSO input:
```
&SYSTEM
  ibrav = 0, nat = 3, ntyp = 3
/
ATOMIC_SPECIES
Ce 140.12 Ce.upf
Bi 208.98 Bi.upf
In 114.82 In.upf
CELL_PARAMETERS angstrom
-4.499 -0.330 0.847
0.815 -3.835 2.833
0.482 2.799 3.651
ATOMIC_POSITIONS crystal
Ce 0.000 0.000 0.374
Bi 0.500 0.000 0.874
In 0.000 0.500 0.874
```

Output
Polymorph energy (0 for the lowest one): 0.179 eV per atom
Calculated volume: 34.2 Å³ per atom
Formation enthalpy at 0 K: -0.298 eV/atom
Electronic total energy: -4.483 eV/atom
DOS at the Fermi energy: 2.261 states/eV per atom
Symmetry: Pmmm (47)

=====

Computed, not measured: crystalline Ce2InBi3 at its relaxed geometry at the GGA-PBE level of DFT. Values from VASP.

Geometry as Quantum ESPRESSO input:
```
&SYSTEM
  ibrav = 0, nat = 6, ntyp = 3
/
ATOMIC_SPECIES
Bi 208.98 Bi.upf
Ce 140.12 Ce.upf
In 114.82 In.upf
CELL_PARAMETERS angstrom
4.631 0.000 0.000
0.000 6.324 0.000
-2.316 -3.162 7.184
ATOMIC_POSITIONS crystal
Bi 0.320 0.320 0.641
Bi 0.000 0.000 0.000
Bi 0.680 0.680 0.359
Ce 0.336 0.836 0.671
Ce 0.664 0.164 0.329
In 0.000 0.500 0.000
```

Output
Polymorph energy (0 for the lowest one): 0.154 eV per atom
Calculated volume: 35.1 Å³ per atom
Formation enthalpy at 0 K: -0.419 eV/atom
Electronic total energy: -4.794 eV/atom
DOS at the Fermi energy: 1.451 states/eV per atom
Symmetry: Immm (71)